VASP calculation (meta-GGA SCAN) on CaMnSi4O10 at its PBEsol-relaxed geometry.

Summary:
- ΔE_f (raw) (eV per atom) = -2.97
- mass density (g cm⁻³) = 2.90
- electronic total energy (Ha/atom) = -0.4085

```
CaMnSi4O10
1.0
7.453 0.000 0.000
0.000 7.453 0.000
0.000 0.000 15.126
Ca Mn Si O
4 4 16 40
Direct
0.500 0.500 0.500 Ca
0.000 0.000 0.500 Ca
0.000 0.000 0.000 Ca
0.500 0.500 0.000 Ca
0.500 0.000 0.571 Mn
0.000 0.500 0.929 Mn
0.000 0.500 0.429 Mn
0.500 0.000 0.071 Mn
0.170 0.251 0.647 Si
0.830 0.749 0.647 Si
0.251 0.170 0.853 Si
0.751 0.330 0.647 Si
0.249 0.670 0.647 Si
0.330 0.751 0.853 Si
0.670 0.249 0.853 Si
0.749 0.830 0.853 Si
0.330 0.249 0.353 Si
0.670 0.751 0.353 Si
0.249 0.330 0.147 Si
0.749 0.170 0.353 Si
0.251 0.830 0.353 Si
0.170 0.749 0.147 Si
0.830 0.251 0.147 Si
0.751 0.670 0.147 Si
0.247 0.103 0.580 O
0.753 0.897 0.580 O
0.103 0.247 0.920 O
0.603 0.253 0.580 O
0.397 0.747 0.580 O
0.253 0.603 0.920 O
0.747 0.397 0.920 O
0.897 0.753 0.920 O
0.253 0.397 0.420 O
0.747 0.603 0.420 O
0.397 0.253 0.080 O
0.897 0.247 0.420 O
0.103 0.753 0.420 O
0.247 0.897 0.080 O
0.753 0.103 0.080 O
0.252 0.047 0.373 O
0.603 0.747 0.080 O
0.752 0.547 0.627 O
0.453 0.248 0.873 O
0.953 0.252 0.627 O
0.047 0.748 0.627 O
0.252 0.953 0.873 O
0.748 0.047 0.873 O
0.547 0.752 0.873 O
0.706 0.706 0.250 O
0.794 0.206 0.250 O
0.206 0.794 0.250 O
0.294 0.294 0.250 O
0.794 0.794 0.750 O
0.706 0.294 0.750 O
0.294 0.706 0.750 O
0.206 0.206 0.750 O
0.953 0.748 0.127 O
0.752 0.453 0.127 O
0.248 0.547 0.127 O
0.453 0.752 0.373 O
0.547 0.248 0.373 O
0.047 0.252 0.127 O
0.748 0.953 0.373 O
0.248 0.453 0.627 O
```

***

VASP calculation (meta-GGA SCAN) on Ca3SmMn4O12 at its PBEsol-relaxed geometry.

Summary:
- ΔE_f (raw) (eV per atom) = -2.81
- mass density (g cm⁻³) = 5.42
- electronic total energy (Ha/atom) = -0.5099

```
Ca3SmMn4O12
1.0
-3.728 0.743 3.646
-3.205 -3.385 -2.579
2.770 -5.659 3.985
Ca Sm Mn O
3 1 4 12
Direct
0.991 0.043 0.500 Ca
0.492 0.458 0.000 Ca
0.010 0.959 0.000 Ca
0.509 0.545 0.500 Sm
0.499 0.002 0.753 Mn
0.001 0.500 0.247 Mn
0.499 0.002 0.247 Mn
0.001 0.500 0.753 Mn
0.784 0.783 0.706 O
0.711 0.289 0.288 O
0.211 0.211 0.211 O
0.293 0.708 0.783 O
0.211 0.211 0.789 O
0.293 0.708 0.217 O
0.784 0.783 0.294 O
0.711 0.289 0.712 O
0.427 0.990 0.500 O
0.072 0.485 0.500 O
0.576 0.013 0.000 O
0.927 0.520 0.000 O
```

***

VASP calculation (meta-GGA SCAN) on Sr6CaMn4O13 at its PBEsol-relaxed geometry.

Summary:
- ΔE_f (raw) (eV per atom) = -2.77
- mass density (g cm⁻³) = 5.06
- electronic total energy (Ha/atom) = -0.5571

```
Sr6CaMn4O13
1.0
6.767 0.000 0.004
0.000 9.677 0.000
-0.695 0.000 9.956
Sr Ca Mn O
12 2 8 26
Direct
0.338 0.641 0.445 Sr
0.662 0.141 0.555 Sr
0.660 0.361 0.052 Sr
0.340 0.861 0.948 Sr
0.164 0.513 0.086 Sr
0.836 0.013 0.914 Sr
0.832 0.490 0.411 Sr
0.168 0.990 0.589 Sr
0.502 0.500 0.750 Sr
0.498 0.000 0.250 Sr
0.006 0.677 0.714 Sr
0.994 0.177 0.286 Sr
0.996 0.320 0.792 Ca
0.004 0.820 0.208 Ca
0.775 0.676 0.971 Mn
0.225 0.176 0.029 Mn
0.225 0.322 0.536 Mn
0.775 0.822 0.464 Mn
0.573 0.670 0.176 Mn
0.427 0.170 0.824 Mn
0.423 0.334 0.327 Mn
0.577 0.834 0.673 Mn
0.855 0.522 0.877 O
0.145 0.022 0.123 O
0.149 0.466 0.639 O
0.851 0.966 0.361 O
0.507 0.606 0.979 O
0.493 0.106 0.021 O
0.492 0.395 0.524 O
0.508 0.895 0.476 O
0.841 0.596 0.170 O
0.159 0.096 0.830 O
0.159 0.411 0.336 O
0.841 0.911 0.664 O
0.677 0.673 0.580 O
0.323 0.173 0.420 O
0.321 0.328 0.917 O
0.679 0.828 0.083 O
0.330 0.749 0.204 O
0.670 0.249 0.796 O
0.660 0.252 0.295 O
0.340 0.752 0.705 O
0.010 0.769 0.954 O
0.990 0.269 0.046 O
0.992 0.228 0.556 O
0.008 0.728 0.444 O
0.500 0.501 0.251 O
0.500 0.001 0.749 O
```

***

VASP calculation (meta-GGA SCAN) on Sr3CaMn2O8 at its PBEsol-relaxed geometry.

Summary:
- ΔE_f (raw) (eV per atom) = -2.84
- mass density (g cm⁻³) = 5.20
- electronic total energy (Ha/atom) = -0.5318

```
Sr3CaMn2O8
1.0
3.760 0.000 0.000
0.000 3.760 0.000
0.000 0.000 12.220
Sr Ca Mn O
3 1 2 8
Direct
0.000 0.000 0.643 Sr
0.000 0.000 0.352 Sr
0.500 0.500 0.858 Sr
0.500 0.500 0.142 Ca
0.000 0.000 0.004 Mn
0.500 0.500 0.496 Mn
0.500 0.500 0.337 O
0.000 0.000 0.846 O
0.000 0.000 0.158 O
0.500 0.500 0.654 O
0.500 0.000 0.007 O
0.000 0.500 0.007 O
0.000 0.500 0.497 O
0.500 0.000 0.497 O
```

***

VASP calculation (meta-GGA SCAN) on Sr7CaTi5Mn3O24 at its PBEsol-relaxed geometry.

Summary:
- ΔE_f (raw) (eV per atom) = -3.17
- mass density (g cm⁻³) = 5.26
- electronic total energy (Ha/atom) = -0.5299

```
Sr7CaTi5Mn3O24
1.0
7.662 -0.002 -0.002
-0.003 7.709 0.017
-0.003 0.016 7.709
Sr Ca Ti Mn O
7 1 5 3 24
Direct
0.755 0.248 0.751 Sr
0.755 0.751 0.751 Sr
0.755 0.751 0.248 Sr
0.248 0.248 0.749 Sr
0.246 0.751 0.751 Sr
0.246 0.249 0.249 Sr
0.248 0.749 0.248 Sr
0.757 0.245 0.245 Ca
0.000 0.497 0.497 Ti
0.503 0.999 0.999 Ti
0.503 0.498 0.000 Ti
0.503 0.000 0.498 Ti
0.501 0.498 0.498 Ti
0.002 0.998 0.998 Mn
0.000 0.496 0.999 Mn
0.000 0.999 0.496 Mn
0.756 0.983 0.983 O
0.755 0.517 0.018 O
0.755 0.018 0.517 O
0.751 0.477 0.477 O
0.244 0.018 0.018 O
0.244 0.481 0.983 O
0.244 0.983 0.481 O
0.248 0.516 0.516 O
0.021 0.004 0.753 O
0.982 0.500 0.755 O
0.971 0.009 0.252 O
0.016 0.500 0.246 O
0.484 0.002 0.751 O
0.518 0.500 0.751 O
0.520 0.004 0.250 O
0.481 0.501 0.250 O
0.971 0.252 0.009 O
0.021 0.753 0.004 O
0.016 0.246 0.500 O
0.982 0.755 0.500 O
0.520 0.250 0.004 O
0.484 0.751 0.002 O
0.481 0.250 0.501 O
0.518 0.751 0.500 O
```

***

VASP calculation (meta-GGA SCAN) on SrCa3TiMn3O12 at its PBEsol-relaxed geometry.

Summary:
- ΔE_f (raw) (eV per atom) = -2.85
- mass density (g cm⁻³) = 4.72
- electronic total energy (Ha/atom) = -0.4663

```
SrCa3TiMn3O12
1.0
3.761 0.000 0.000
0.000 7.569 0.033
0.000 0.038 7.569
Sr Ca Ti Mn O
1 3 1 3 12
Direct
0.000 0.252 0.252 Sr
0.000 0.765 0.765 Ca
0.000 0.765 0.260 Ca
0.000 0.260 0.765 Ca
0.500 0.509 0.509 Ti
0.500 0.006 0.006 Mn
0.500 0.004 0.509 Mn
0.500 0.509 0.004 Mn
0.000 0.992 0.992 O
0.000 0.495 0.495 O
0.000 0.491 0.989 O
0.000 0.989 0.491 O
0.500 0.989 0.245 O
0.500 0.245 0.989 O
0.500 0.504 0.242 O
0.500 0.242 0.504 O
0.500 0.987 0.748 O
0.500 0.748 0.987 O
0.500 0.498 0.754 O
0.500 0.754 0.498 O
```

***

VASP calculation (meta-GGA SCAN) on Sr7CaTi3Mn5O24 at its PBEsol-relaxed geometry.

Summary:
- ΔE_f (raw) (eV per atom) = -2.97
- mass density (g cm⁻³) = 5.42
- electronic total energy (Ha/atom) = -0.5267

```
Sr7CaTi3Mn5O24
1.0
-6.208 -4.289 0.895
4.293 -5.580 3.028
-1.022 2.941 7.004
Sr Ca Ti Mn O
7 1 3 5 24
Direct
0.755 0.247 0.751 Sr
0.249 0.247 0.751 Sr
0.245 0.750 0.751 Sr
0.753 0.248 0.248 Sr
0.244 0.249 0.249 Sr
0.755 0.751 0.247 Sr
0.249 0.751 0.247 Sr
0.752 0.748 0.747 Ca
0.500 0.500 0.998 Ti
0.500 0.998 0.500 Ti
0.503 0.500 0.500 Ti
0.001 0.994 0.994 Mn
0.500 0.998 0.998 Mn
0.997 0.497 0.995 Mn
0.997 0.995 0.497 Mn
0.001 0.497 0.497 Mn
0.022 0.004 0.753 O
0.483 0.999 0.754 O
0.971 0.512 0.753 O
0.521 0.503 0.750 O
0.979 0.003 0.252 O
0.518 0.999 0.245 O
0.021 0.506 0.253 O
0.483 0.501 0.249 O
0.979 0.252 0.003 O
0.518 0.245 0.999 O
0.022 0.753 0.005 O
0.483 0.754 0.999 O
0.021 0.253 0.506 O
0.483 0.249 0.501 O
0.971 0.753 0.511 O
0.521 0.750 0.503 O
0.753 0.972 0.972 O
0.250 0.020 0.020 O
0.755 0.518 0.017 O
0.244 0.484 0.981 O
0.755 0.017 0.518 O
0.244 0.981 0.484 O
0.756 0.481 0.481 O
0.244 0.519 0.519 O
```

***

VASP calculation (meta-GGA SCAN) on Sr2Ca6TiMn7O24 at its PBEsol-relaxed geometry.

Summary:
- ΔE_f (raw) (eV per atom) = -2.75
- mass density (g cm⁻³) = 4.80
- electronic total energy (Ha/atom) = -0.4648

```
Sr2Ca6TiMn7O24
1.0
7.477 0.000 0.000
0.000 7.553 0.037
0.000 0.039 7.553
Sr Ca Ti Mn O
2 6 1 7 24
Direct
0.252 0.748 0.748 Sr
0.748 0.748 0.748 Sr
0.252 0.238 0.737 Ca
0.248 0.238 0.238 Ca
0.252 0.737 0.238 Ca
0.748 0.238 0.737 Ca
0.752 0.238 0.238 Ca
0.748 0.737 0.238 Ca
0.000 0.492 0.492 Ti
0.000 0.994 0.994 Mn
0.000 0.490 0.995 Mn
0.000 0.995 0.490 Mn
0.500 0.994 0.994 Mn
0.500 0.489 0.995 Mn
0.500 0.995 0.489 Mn
0.500 0.492 0.492 Mn
0.250 0.009 0.009 O
0.251 0.508 0.011 O
0.251 0.011 0.508 O
0.255 0.500 0.500 O
0.750 0.009 0.009 O
0.749 0.508 0.011 O
0.749 0.011 0.508 O
0.745 0.500 0.500 O
0.000 0.010 0.754 O
0.000 0.495 0.756 O
0.000 0.012 0.252 O
0.000 0.501 0.245 O
0.500 0.013 0.755 O
0.500 0.501 0.755 O
0.500 0.016 0.253 O
0.500 0.513 0.253 O
0.000 0.252 0.012 O
0.000 0.754 0.010 O
0.000 0.245 0.501 O
0.000 0.756 0.495 O
0.500 0.253 0.016 O
0.500 0.755 0.013 O
0.500 0.253 0.513 O
0.500 0.755 0.501 O
```

***

VASP calculation (meta-GGA SCAN) on Sr3CaTi3MnO12 at its PBEsol-relaxed geometry.

Summary:
- ΔE_f (raw) (eV per atom) = -3.26
- mass density (g cm⁻³) = 5.05
- electronic total energy (Ha/atom) = -0.5197

```
Sr3CaTi3MnO12
1.0
7.663 0.000 0.000
0.000 7.672 0.000
0.000 0.000 7.759
Sr Ca Ti Mn O
6 2 6 2 24
Direct
0.753 0.750 0.753 Sr
0.753 0.250 0.754 Sr
0.753 0.250 0.246 Sr
0.247 0.750 0.754 Sr
0.247 0.250 0.753 Sr
0.247 0.750 0.246 Sr
0.752 0.750 0.245 Ca
0.248 0.250 0.245 Ca
0.000 0.000 0.494 Ti
0.000 0.500 0.494 Ti
0.500 0.000 0.001 Ti
0.500 0.500 0.001 Ti
0.500 0.000 0.498 Ti
0.500 0.500 0.498 Ti
0.000 0.000 0.000 Mn
0.000 0.500 0.000 Mn
0.755 0.027 0.000 O
0.755 0.473 0.000 O
0.751 0.958 0.492 O
0.751 0.542 0.492 O
0.245 0.973 0.000 O
0.245 0.527 0.000 O
0.249 0.042 0.492 O
0.249 0.458 0.492 O
0.000 0.000 0.756 O
0.000 0.500 0.756 O
0.000 0.000 0.246 O
0.000 0.500 0.246 O
0.500 0.000 0.751 O
0.500 0.500 0.751 O
0.500 0.000 0.250 O
0.500 0.500 0.250 O
0.963 0.750 0.010 O
0.037 0.250 0.010 O
0.038 0.750 0.503 O
0.962 0.250 0.503 O
0.529 0.750 0.007 O
0.471 0.250 0.007 O
0.460 0.750 0.502 O
0.540 0.250 0.502 O
```

***

VASP calculation (meta-GGA SCAN) on Sr3Ca5Ti3Mn5O24 at its PBEsol-relaxed geometry.

Summary:
- ΔE_f (raw) (eV per atom) = -2.97
- mass density (g cm⁻³) = 4.86
- electronic total energy (Ha/atom) = -0.4804

```
Sr3Ca5Ti3Mn5O24
1.0
-1.426 -5.032 -5.439
-3.565 -4.430 5.002
-6.512 3.533 -1.529
Sr Ca Ti Mn O
3 5 3 5 24
Direct
0.245 0.260 0.744 Sr
0.753 0.239 0.762 Sr
0.755 0.235 0.255 Sr
0.246 0.768 0.738 Ca
0.754 0.736 0.763 Ca
0.245 0.269 0.236 Ca
0.247 0.763 0.227 Ca
0.754 0.738 0.271 Ca
0.498 0.505 0.001 Ti
0.498 0.997 0.498 Ti
0.498 0.503 0.501 Ti
0.000 0.996 0.000 Mn
0.497 0.998 0.000 Mn
0.001 0.506 0.001 Mn
0.001 0.996 0.497 Mn
0.000 0.504 0.501 Mn
0.033 0.018 0.749 O
0.473 0.026 0.753 O
0.969 0.479 0.752 O
0.525 0.474 0.752 O
0.970 0.959 0.248 O
0.528 0.959 0.244 O
0.033 0.534 0.252 O
0.473 0.539 0.251 O
0.981 0.249 0.025 O
0.518 0.246 0.029 O
0.038 0.751 0.967 O
0.468 0.756 0.963 O
0.037 0.248 0.468 O
0.466 0.249 0.466 O
0.958 0.749 0.530 O
0.535 0.750 0.536 O
0.249 0.025 0.041 O
0.752 0.970 0.967 O
0.245 0.478 0.985 O
0.756 0.535 0.028 O
0.245 0.956 0.475 O
0.756 0.028 0.517 O
0.244 0.534 0.533 O
0.756 0.476 0.472 O
```